(1)
Below is V12CrH7 after structural relaxation, with properties calculated at the GGA-PBE level.

The space group is R-3 (No. 148, hexagonal axes) and the conventional cell measures 9.7099, 9.7099 and 6.9766 Å, with angles of 90.00, 90.00 and 120.00 degrees. The distinct sites, in fractional coordinates, are V at (0.0216, 0.4310, 0.1696), V at (0.0547, 0.8718, 0.8344), Cr at (0.0000, 0.0000, 0.5000), H at (0.0000, 0.0000, 0.0000) and H at (0.0514, 0.8757, 0.3392).

The value obtained for the total energy is -429.41 eV for the cell shown. The crystal system is trigonal. The magnetization is 0.00 μB/atom.

(2)
Below is CdFe2Se after structural relaxation, with properties calculated at the GGA-PBE level.

The space group is P4/mmm (No. 123) and the conventional cell measures 4.318, 4.318 and 3.392 Å, with angles of 90.00, 90.00 and 90.00 degrees. The distinct sites, in fractional coordinates, are Cd at (0.000, 0.000, 0.000), Fe at (0.000, 0.500, 0.500) and Se at (0.500, 0.500, 0.000).

The value obtained for the formation energy (no corrections) is 0.43 eV/atom. The crystal system is tetragonal. The magnetization is 1.30 μB/atom.

(3)
Below is CaAcCdPb after structural relaxation, with properties calculated at the GGA-PBE level.

The space group is F-43m (No. 216) and the conventional cell measures 8.036, 8.036 and 8.036 Å, with angles of 90.00, 90.00 and 90.00 degrees. The distinct sites, in fractional coordinates, are Ca at (0.000, 0.000, 0.000), Ac at (0.000, 0.000, 0.500), Cd at (0.250, 0.250, 0.250) and Pb at (0.250, 0.250, 0.750).

The crystal system is cubic. The magnetization is 0.00 μB/atom. The value obtained for the formation energy is -0.44 eV/atom.

(4)
Below is TlSbPd2 after structural relaxation, with properties calculated at the GGA-PBE level.

The space group is R-3m (No. 166, hexagonal axes) and the conventional cell measures 3.3241, 3.3241 and 25.4503 Å, with angles of 90.00, 90.00 and 120.00 degrees. The distinct sites, in fractional coordinates, are Tl at (0.0000, 0.0000, 0.0000), Sb at (0.0000, 0.0000, 0.5000) and Pd at (0.0000, 0.0000, 0.2466).

The value obtained for the formation energy (no corrections) is -0.16 eV/atom. The crystal system is trigonal. The magnetization is 0.00 μB/atom.